The following is a PBE-GGA calculation of an optimized crystal structure of Nd2ErTm12, from Alexandria.

Unit cell a=6.582 b=6.582 c=24.376 alpha=96.74 beta=83.26 gamma=65.19
Fractional coordinates of all 30 atoms:
Tm 0.607 0.393 0.191
Tm 0.499 0.501 0.670
Tm 0.893 0.107 0.809
Tm 0.322 0.178 0.571
Tm 0.350 0.150 0.867
Tm 0.834 0.166 0.555
Tm 0.334 0.666 0.555
Tm 0.549 0.451 0.934
Tm 0.666 0.334 0.445
Tm 0.678 0.822 0.429
Tm 0.178 0.322 0.429
Tm 0.650 0.850 0.134
Tm 0.049 0.951 0.934
Tm 0.150 0.350 0.133
Tm 0.501 0.499 0.330
Tm 0.999 0.001 0.670
Tm 0.393 0.607 0.809
Tm 0.850 0.650 0.866
Tm 0.001 0.999 0.330
Tm 0.822 0.678 0.571
Tm 0.451 0.549 0.066
Tm 0.166 0.834 0.445
Tm 0.951 0.049 0.066
Tm 0.107 0.893 0.191
Er 0.500 0.000 0.000
Er 0.000 0.500 0.000
Nd 0.461 0.039 0.721
Nd 0.039 0.461 0.279
Nd 0.961 0.539 0.720
Nd 0.539 0.961 0.280

Values from the calculation:
Total magnetic moment, μB/atom: 0.000
Total energy, eV per cell: -132.3